Record 1
Compound: KU3Pd2Se6
Source: the Alexandria database
Functional: PBE
Structure: relaxed

Unit cell a=18.313 b=4.348 c=8.574 alpha=90.00 beta=100.81 gamma=90.00
Space group C2/m (No. 12)
Inequivalent atoms, fractional coordinates:
K  0.000  0.000  0.000 [2 per cell]
U  0.000  0.000  0.500 [2 per cell]
U  0.162  0.500  0.841 [4 per cell]
Pd  0.127  0.500  0.161 [4 per cell]
Se  0.004  0.500  0.279 [4 per cell]
Se  0.156  0.000  0.621 [4 per cell]
Se  0.179  0.000  0.080 [4 per cell]

- D(E_F): 42.743 states/eV per cell
- E_form (uncorrected): -10.3 eV per formula unit
- Calculated total energy: -153.2 eV for the cell shown

=====

Record 2
Compound: KUPd2Se4
Source: the Alexandria database
Functional: PBE
Structure: relaxed

Unit cell a=6.786 b=7.197 c=7.987 alpha=90.00 beta=90.00 gamma=90.00
Space group I222 (No. 23)
Inequivalent atoms, fractional coordinates:
K  0.000  0.000  0.000 [2 per cell]
U  0.000  0.000  0.500 [2 per cell]
Pd  0.000  0.500  0.189 [4 per cell]
Se  0.217  0.231  0.295 [8 per cell]

- D(E_F): 16.035 states/eV per cell
- E_form (uncorrected): -4.8 eV per formula unit
- Calculated total energy: -83.1 eV for the cell shown

=====

Record 3
Compound: KU4Pd3Se12
Source: the Alexandria database
Functional: PBE
Structure: relaxed

Unit cell a=10.248 b=10.248 c=10.248 alpha=90.00 beta=90.00 gamma=90.00
Space group Im-3 (No. 204)
Inequivalent atoms, fractional coordinates:
K  0.000  0.000  0.000 [2 per cell]
U  0.250  0.250  0.250 [8 per cell]
Pd  0.000  0.000  0.500 [6 per cell]
Se  0.000  0.164  0.316 [24 per cell]

- D(E_F): 43.666 states/eV per cell
- E_form (uncorrected): -15.4 eV per formula unit
- Calculated total energy: -238.0 eV for the cell shown

=====

Record 4
Compound: KU2PdSe5
Source: the Alexandria database
Functional: PBE
Structure: relaxed

Unit cell a=7.830 b=7.830 c=14.868 alpha=90.00 beta=90.00 gamma=90.00
Space group I4/mcm (No. 140)
Inequivalent atoms, fractional coordinates:
K  0.000  0.000  0.250 [4 per cell]
U  0.155  0.345  0.000 [8 per cell]
Pd  0.000  0.500  0.250 [4 per cell]
Se  0.000  0.000  0.000 [4 per cell]
Se  0.148  0.352  0.379 [16 per cell]

- D(E_F): 38.730 states/eV per cell
- E_form (uncorrected): -9.1 eV per formula unit
- Calculated total energy: -221.5 eV for the cell shown

=====

Record 5
Compound: K2UPdSe6
Source: the Alexandria database
Functional: PBE
Structure: relaxed

Unit cell a=10.407 b=10.418 c=7.351 alpha=90.00 beta=134.81 gamma=90.00
Space group C2/m (No. 12)
Inequivalent atoms, fractional coordinates:
K  0.000  0.250  0.000 [4 per cell]
U  0.000  0.000  0.500 [2 per cell]
Pd  0.000  0.500  0.500 [2 per cell]
Se  0.000  0.255  0.500 [4 per cell]
Se  0.245  0.500  0.500 [4 per cell]
Se  0.245  0.500  0.991 [4 per cell]

- D(E_F): 21.720 states/eV per cell
- E_form (uncorrected): -6.9 eV per formula unit
- Calculated total energy: -93.0 eV for the cell shown

=====

Record 6
Compound: K2VPdSe
Source: the Alexandria database
Functional: PBE
Structure: relaxed

Unit cell a=6.302 b=6.302 c=4.719 alpha=90.00 beta=90.00 gamma=90.00
Space group P4/mmm (No. 123)
Inequivalent atoms, fractional coordinates:
K  0.000  0.500  0.000 [2 per cell]
V  0.000  0.000  0.500 [1 per cell]
Pd  0.500  0.500  0.500 [1 per cell]
Se  0.500  0.500  0.000 [1 per cell]

- D(E_F): 8.161 states/eV per cell
- E_form (uncorrected): 2.2 eV per formula unit
- Calculated total energy: -17.8 eV for the cell shown

=====

Record 7
Compound: KVPdSe3
Source: the Alexandria database
Functional: PBE
Structure: relaxed

Unit cell a=8.278 b=3.680 c=9.877 alpha=90.00 beta=113.69 gamma=90.00
Space group P2_1/m (No. 11)
Inequivalent atoms, fractional coordinates:
K  0.245  0.250  0.221 [2 per cell]
V  0.205  0.750  0.669 [2 per cell]
Pd  0.421  0.250  0.882 [2 per cell]
Se  0.037  0.750  0.381 [2 per cell]
Se  0.234  0.750  0.924 [2 per cell]
Se  0.385  0.250  0.621 [2 per cell]

- D(E_F): 4.767 states/eV per cell
- E_form (uncorrected): -4.4 eV per formula unit
- Calculated total energy: -60.5 eV for the cell shown

=====

Record 8
Compound: KPdWSe2
Source: the Alexandria database
Functional: PBE
Structure: relaxed

Unit cell a=5.047 b=5.047 c=5.121 alpha=90.00 beta=90.00 gamma=90.00
Space group P4/mmm (No. 123)
Inequivalent atoms, fractional coordinates:
K  0.000  0.000  0.000 [1 per cell]
Pd  0.000  0.000  0.500 [1 per cell]
W  0.500  0.500  0.000 [1 per cell]
Se  0.000  0.500  0.500 [2 per cell]

- D(E_F): 3.415 states/eV per cell
- E_form (uncorrected): 5.6 eV per formula unit
- Calculated total energy: -20.6 eV for the cell shown

=====

Record 9
Compound: KYPd2Se
Source: the Alexandria database
Functional: PBE
Structure: relaxed

Unit cell a=4.844 b=4.844 c=5.656 alpha=90.00 beta=90.00 gamma=90.00
Space group P4/mmm (No. 123)
Inequivalent atoms, fractional coordinates:
K  0.000  0.000  0.000 [1 per cell]
Y  0.500  0.500  0.500 [1 per cell]
Pd  0.000  0.500  0.000 [2 per cell]
Se  0.000  0.000  0.500 [1 per cell]

- D(E_F): 0.775 states/eV per cell
- E_form (uncorrected): 2.6 eV per formula unit
- Calculated total energy: -18.8 eV for the cell shown

=====

Record 10
Compound: K3Zr2PdSe6
Source: the Alexandria database
Functional: PBE
Structure: relaxed

Unit cell a=6.947 b=12.112 c=7.892 alpha=90.00 beta=106.27 gamma=90.00
Space group C2/m (No. 12)
Inequivalent atoms, fractional coordinates:
K  0.000  0.000  0.000 [2 per cell]
K  0.000  0.341  0.000 [4 per cell]
Zr  0.000  0.171  0.500 [4 per cell]
Pd  0.000  0.500  0.500 [2 per cell]
Se  0.227  0.000  0.687 [4 per cell]
Se  0.242  0.327  0.702 [8 per cell]

- D(E_F): 9.443 states/eV per cell
- E_form (uncorrected): -13.4 eV per formula unit
- Calculated total energy: -119.8 eV for the cell shown

=====

Record 11
Compound: K2Zr2PdSe6
Source: the Alexandria database
Functional: PBE
Structure: relaxed

Unit cell a=6.742 b=11.601 c=8.168 alpha=90.00 beta=105.11 gamma=90.00
Space group C2/m (No. 12)
Inequivalent atoms, fractional coordinates:
K  0.000  0.161  0.000 [4 per cell]
Zr  0.000  0.322  0.500 [4 per cell]
Pd  0.000  0.000  0.500 [2 per cell]
Se  0.239  0.500  0.677 [4 per cell]
Se  0.247  0.165  0.702 [8 per cell]

- D(E_F): 8.953 states/eV per cell
- E_form (uncorrected): -12.1 eV per formula unit
- Calculated total energy: -114.9 eV for the cell shown

=====

Record 12
Compound: K2ZrPd2Se4
Source: the Alexandria database
Functional: PBE
Structure: relaxed

Unit cell a=14.843 b=3.942 c=7.969 alpha=90.00 beta=108.58 gamma=90.00
Space group C2/m (No. 12)
Inequivalent atoms, fractional coordinates:
K  0.133  0.000  0.073 [4 per cell]
Zr  0.000  0.000  0.500 [2 per cell]
Pd  0.179  0.500  0.495 [4 per cell]
Se  0.010  0.500  0.263 [4 per cell]
Se  0.192  0.000  0.693 [4 per cell]

- D(E_F): 10.597 states/eV per cell
- E_form (uncorrected): -8.4 eV per formula unit
- Calculated total energy: -87.0 eV for the cell shown

=====

Q: calculated total energy of number 9 (KYPd2Se)?
A: -18.8 eV for the cell shown